ErNpBi2O8 | PBE | relaxed

Output
Uncorrected formation energy, eV per atom: -2.217
DOS at the Fermi energy, states/eV per atom: 0.108
Calculated density, g/cm3: 8.16
E_tot, eV/atom: -7.63

Cell: 5.255 5.259 6.998 Å, 89.99 90.01 89.81°
Positions (direct):
Er 0.000 0.000 0.500
Np 0.000 0.000 0.000
Bi 0.500 0.500 0.739
Bi 0.500 0.500 0.261
O 0.178 0.821 0.234
O 0.740 0.742 0.000
O 0.822 0.179 0.233
O 0.822 0.179 0.766
O 0.260 0.258 0.000
O 0.178 0.821 0.767
O 0.694 0.695 0.500
O 0.306 0.305 0.500